[1]
VASP calculation (PBE-GGA) on Mn2AlH after structural relaxation.

Cell and atoms, written as extended XYZ:
```
4
Lattice="-1.681 -0.675 -1.957 -1.876 -1.846 0.431 -5.095 3.563 1.329" Properties=species:S:1:pos:R:3 pbc="T T T"
H 0.000 0.000 0.000
Al -4.326 0.521 -0.098
Mn -6.844 1.181 0.019
Mn -1.808 -0.139 -0.216
```

Values from the calculation:
The value obtained for the polymorph energy (0 for the lowest one) is 42 meV/atom. The value obtained for the energy is -6.4291 eV per atom.

[2]
VASP calculation (PBE-GGA) on Mn2AlH2 after structural relaxation.

Cell and atoms, written as extended XYZ:
```
5
Lattice="-1.127 1.229 2.342 -1.770 -2.242 0.325 1.931 -2.767 4.146" Properties=species:S:1:pos:R:3 pbc="T T T"
H -0.644 -2.758 2.902
Mn -0.570 -2.569 4.603
H -0.322 -1.022 3.911
Mn -0.395 -1.211 2.210
Al 0.000 0.000 0.000
```

Values from the calculation:
The value obtained for the polymorph energy (0 for the lowest one) is 0 meV/atom. The value obtained for the energy is -5.8065 eV per atom.

[3]
VASP calculation (PBE-GGA) on Mn2AlH2 after structural relaxation.

Cell and atoms, written as extended XYZ:
```
5
Lattice="3.303 0.355 -1.163 -0.758 3.235 -1.163 -0.204 -0.287 4.658" Properties=species:S:1:pos:R:3 pbc="T T T"
Mn 2.288 1.075 -1.163
Al 1.171 1.651 1.165
H 2.076 2.928 -1.199
H 0.265 0.374 3.530
Mn 0.257 2.515 -1.163
```

Values from the calculation:
The value obtained for the polymorph energy (0 for the lowest one) is 140 meV/atom. The value obtained for the energy is -5.6666 eV per atom.

[4]
VASP calculation (PBE-GGA) on Mn3Al5H12 after structural relaxation.

Cell and atoms, written as extended XYZ:
```
80
Lattice="9.284 0.000 0.000 -3.095 8.753 0.000 -3.095 -4.376 7.580" Properties=species:S:1:pos:R:3 pbc="T T T"
Al 1.547 2.188 3.790
H 3.114 1.369 4.236
Al 0.000 0.000 0.000
H 3.348 -0.988 6.760
H -0.500 5.015 2.970
Al 4.642 0.000 0.000
H 1.294 -1.204 7.135
Al -1.547 -2.188 3.790
Al -0.774 0.547 4.738
H 6.442 4.160 1.266
H 6.209 0.795 0.486
H -1.528 2.212 4.722
H -2.867 3.930 4.276
H -1.047 2.892 6.648
Al 0.774 -2.188 5.685
H 0.228 5.272 5.056
Al -2.321 4.923 2.843
H 4.142 6.629 2.038
Mn 2.321 4.923 4.738
Al 3.095 4.376 0.000
H 1.320 3.480 5.056
H 1.047 0.639 4.610
H 5.962 0.446 3.304
H 3.322 3.926 5.828
Al 5.416 -0.547 4.738
Al 2.321 6.565 1.895
Mn 0.774 4.376 1.895
H -0.228 0.450 1.752
H 2.047 3.738 2.970
Al -0.774 2.188 1.895
Al 3.868 3.829 2.843
H 1.800 5.581 0.446
H 6.689 2.124 2.038
H -1.775 4.826 5.828
H -0.253 5.364 0.820
H -1.320 -0.446 3.304
Mn 0.774 -0.547 2.843
Mn -2.321 1.641 6.633
Al 3.868 2.188 5.685
H 3.595 -0.639 4.610
H -1.047 -2.253 5.542
H -1.294 -0.216 6.315
H 6.170 -2.212 4.722
Mn 5.416 6.018 0.948
H -3.595 2.253 5.542
H -3.348 0.216 6.315
Mn 5.416 2.735 0.948
Mn -0.774 3.829 4.738
H -0.019 3.007 3.344
H 4.389 4.593 1.266
H 1.800 3.388 0.820
H 1.567 5.746 3.344
Mn 3.868 0.547 2.843
H 1.528 -1.369 4.236
Al 0.774 2.735 6.633
H 4.142 1.485 0.932
Mn 6.963 0.000 1.895
H 3.348 1.204 7.135
Al 2.321 1.641 0.948
H -0.253 3.172 0.446
Al 3.095 -2.188 3.790
H 2.867 -0.896 2.524
Al -3.095 2.188 3.790
H -2.595 7.268 0.932
H 1.775 0.896 2.524
H -3.075 6.588 2.858
H 4.623 2.165 2.858
Mn 2.321 0.000 5.685
H -1.528 -3.581 7.094
H 4.414 4.822 4.276
H 5.689 -2.892 6.648
Al -0.774 7.112 0.948
H 1.294 0.988 6.760
Mn -2.321 -1.641 6.633
Al 3.868 -2.735 6.633
H -3.114 3.581 7.094
Mn -3.868 4.376 5.685
H 4.869 -0.450 1.752
Al -1.547 4.376 0.000
H 4.623 7.958 0.486
```

Values from the calculation:
The value obtained for the energy is -3.9478 eV per atom.

[5]
VASP calculation (PBE-GGA) on MnAl2H after structural relaxation.

Cell and atoms, written as extended XYZ:
```
4
Lattice="-0.299 2.862 -0.019 -1.501 1.303 2.080 5.492 2.050 4.670" Properties=species:S:1:pos:R:3 pbc="T T T"
Mn 1.846 3.108 3.366
Al -0.337 4.324 3.018
H 0.000 0.000 0.000
Al 4.030 1.891 3.714
```

Values from the calculation:
The value obtained for the polymorph energy (0 for the lowest one) is 0 meV/atom. The value obtained for the energy is -4.9668 eV per atom.

[6]
VASP calculation (PBE-GGA) on MnAl2H after structural relaxation.

Cell and atoms, written as extended XYZ:
```
4
Lattice="-3.609 -2.117 0.069 -3.603 1.981 -0.778 -2.063 -0.734 -3.566" Properties=species:S:1:pos:R:3 pbc="T T T"
H 0.000 0.000 0.000
Mn -4.637 -0.435 -2.138
Al -2.319 -0.217 -1.069
Al -6.956 -0.652 -3.207
```

Values from the calculation:
The value obtained for the polymorph energy (0 for the lowest one) is 436 meV/atom. The value obtained for the energy is -4.5306 eV per atom.

| no. | DOS(E_F) (states/eV per atom) |
| --- | --- |
| 1 | 0.961 |
| 2 | 0.894 |
| 3 | 0.471 |
| 4 | 0.335 |
| 5 | 0.452 |
| 6 | 0.947 |